First-principles (GGA-PBE) data for Ba3PrAu4 after structural relaxation, as listed in the Alexandria database.

Cell lengths 3.940, 3.940, 15.980 Å; angles 90.00, 90.00, 90.00 degrees
Positions (direct):
Ba (0.000, 0.000, 0.000)
Ba (0.000, 0.000, 0.257)
Ba (0.000, 0.000, 0.743)
Pr (0.000, 0.000, 0.500)
Au (0.500, 0.500, 0.128)
Au (0.500, 0.500, 0.401)
Au (0.500, 0.500, 0.599)
Au (0.500, 0.500, 0.872)

Its formation energy is -0.6997 eV/atom. The crystal system is tetragonal.

First-principles (GGA-PBE) data for Ti2Re2Se after structural relaxation, as listed in the Alexandria database.

Cell lengths 7.776, 7.776, 2.937 Å; angles 90.00, 90.00, 90.00 degrees
Positions (direct):
Ti (0.187, 0.313, 0.000)
Ti (0.313, 0.813, 0.000)
Ti (0.687, 0.187, 0.000)
Ti (0.813, 0.687, 0.000)
Re (0.106, 0.606, 0.500)
Re (0.394, 0.106, 0.500)
Re (0.606, 0.894, 0.500)
Re (0.894, 0.394, 0.500)
Se (0.000, 0.000, 0.000)
Se (0.500, 0.500, 0.000)

The crystal system is tetragonal. The value obtained for the total energy is -85.5 eV for the cell shown.

First-principles (GGA-PBE) data for Dy2Er6In after structural relaxation, as listed in the Alexandria database.

Cell lengths 10.816, 10.816, 8.877 Å; angles 108.27, 108.27, 32.99 degrees
Positions (direct):
Dy (0.054, 0.392, 0.305)
Dy (0.392, 0.054, 0.805)
Dy (0.608, 0.946, 0.195)
Dy (0.946, 0.608, 0.695)
Er (0.043, 0.742, 0.471)
Er (0.174, 0.502, 0.083)
Er (0.258, 0.957, 0.029)
Er (0.278, 0.615, 0.863)
Er (0.385, 0.722, 0.637)
Er (0.498, 0.826, 0.417)
Er (0.502, 0.174, 0.583)
Er (0.615, 0.278, 0.363)
Er (0.722, 0.385, 0.137)
Er (0.742, 0.043, 0.971)
Er (0.826, 0.498, 0.917)
Er (0.957, 0.258, 0.529)
In (0.165, 0.835, 0.250)
In (0.835, 0.165, 0.750)

Its formation energy is -0.0977 eV/atom. The crystal system is monoclinic.